Record 1
VASP calculation (PBE-GGA) on a relaxed Ga2FePd2 crystal.

It has space group P4/mbm (No. 127), with a = 7.309 Å, b = 7.309 Å, c = 2.880 Å, α = 90.00°, β = 90.00° and γ = 90.00°. The asymmetric unit holds Ga at (0.162, 0.338, 0.000), Fe at (0.000, 0.000, 0.500) and Pd at (0.139, 0.639, 0.500).

The formation energy comes out at -0.246 eV/atom. The polymorph energy (0 for the lowest one) is 3.1 kJ/mol of atoms. As for the total DFT energy (no corrections): -0.3842 Ry per atom.



Record 2
VASP calculation (PBE-GGA) on a relaxed ZrTiSb4 crystal.

It has space group C2/m (No. 12), with a = 7.294 Å, b = 5.377 Å, c = 7.897 Å, α = 90.00°, β = 90.06° and γ = 90.00°. The asymmetric unit holds Zr at (0.000, 0.000, 0.000), Ti at (0.000, 0.500, 0.500), Sb at (0.126, 0.500, 0.846) and Sb at (0.137, 0.000, 0.635).

As for the formation energy without anion corrections: -85.6 kJ/mol of formula units. As for the total DFT energy (no corrections): -0.4143 Ry per atom.



Record 3
VASP calculation (PBE-GGA) on a relaxed Be2Co crystal.

It has space group I4/mmm (No. 139), with a = 2.627 Å, b = 2.627 Å, c = 7.341 Å, α = 90.00°, β = 90.00° and γ = 90.00°. The asymmetric unit holds Be at (0.000, 0.000, 0.164) and Co at (0.000, 0.000, 0.500).

The formation energy comes out at -0.275 eV/atom. As for the total DFT energy (no corrections): -0.3769 Ry per atom.



Record 4
VASP calculation (PBE-GGA) on a relaxed PrCd6Ag6 crystal.

It has space group Immm (No. 71), with a = 5.592 Å, b = 9.847 Å, c = 9.984 Å, α = 90.00°, β = 90.00° and γ = 90.00°. The asymmetric unit holds Pr at (0.000, 0.000, 0.000), Cd at (0.000, 0.000, 0.349), Cd at (0.000, 0.347, 0.000), Cd at (0.000, 0.500, 0.304), Ag at (0.000, 0.278, 0.500) and Ag at (0.250, 0.250, 0.250).

The formation energy comes out at -0.132 eV/atom. As for the total DFT energy (no corrections): -0.1645 Ry per atom.



Record 5
VASP calculation (PBE-GGA) on a relaxed TbPaSn2 crystal.

It has space group Fm-3m (No. 225), with a = 7.543 Å, b = 7.543 Å, c = 7.543 Å, α = 90.00°, β = 90.00° and γ = 90.00°. The asymmetric unit holds Tb at (0.000, 0.000, 0.000), Pa at (0.000, 0.000, 0.500) and Sn at (0.250, 0.250, 0.250).

The formation energy comes out at -0.285 eV/atom. The polymorph energy (0 for the lowest one) is 10.4 kJ/mol of atoms. As for the total DFT energy (no corrections): -0.4276 Ry per atom.



Record 6
VASP calculation (PBE-GGA) on a relaxed LiDyU2As4 crystal.

It has space group P2/m (No. 10), with a = 7.047 Å, b = 4.086 Å, c = 7.057 Å, α = 90.00°, β = 109.43° and γ = 90.00°. The asymmetric unit holds Li at (0.000, 0.000, 0.000), Dy at (0.500, 0.500, 0.000), U at (0.000, 0.500, 0.500), U at (0.500, 0.000, 0.500), As at (0.247, 0.000, 0.747) and As at (0.253, 0.500, 0.259).

The formation energy comes out at -0.836 eV/atom. As for the total DFT energy (no corrections): -0.4996 Ry per atom.



Record 7
VASP calculation (PBE-GGA) on a relaxed ThNi2GeN crystal.

It has space group Cmcm (No. 63), with a = 3.563 Å, b = 11.589 Å, c = 7.022 Å, α = 90.00°, β = 90.00° and γ = 90.00°. The asymmetric unit holds Th at (0.000, 0.035, 0.250), Ni at (0.000, 0.330, 0.053), Ge at (0.000, 0.235, 0.750) and N at (0.000, 0.500, 0.000).

As for the formation energy without anion corrections: -397.4 kJ/mol of formula units. As for the total DFT energy (no corrections): -0.5298 Ry per atom.



Record 8
VASP calculation (PBE-GGA) on a relaxed Mg2FeCo2 crystal.

It has space group P4/mbm (No. 127), with a = 5.967 Å, b = 5.967 Å, c = 4.116 Å, α = 90.00°, β = 90.00° and γ = 90.00°. The asymmetric unit holds Mg at (0.175, 0.325, 0.000), Fe at (0.000, 0.000, 0.500) and Co at (0.131, 0.631, 0.500).

The formation energy comes out at 0.132 eV/atom. As for the total DFT energy (no corrections): -0.3705 Ry per atom.



Record 9
VASP calculation (PBE-GGA) on a relaxed HoSiP2N6 crystal.

It has space group C2/c (No. 15), with a = 9.712 Å, b = 9.803 Å, c = 5.620 Å, α = 90.00°, β = 116.59° and γ = 90.00°. The asymmetric unit holds Ho at (0.000, 0.125, 0.250), Si at (0.000, 0.203, 0.750), P at (0.186, 0.422, 0.144), N at (0.094, 0.280, 0.050), N at (0.126, 0.087, 0.707) and N at (0.145, 0.477, 0.384).

As for the formation energy without anion corrections: -656.3 kJ/mol of formula units. As for the total DFT energy (no corrections): -0.5702 Ry per atom.



Record 10
VASP calculation (PBE-GGA) on a relaxed Rb3PaO4 crystal.

It has space group Cmmm (No. 65), with a = 7.701 Å, b = 11.809 Å, c = 3.697 Å, α = 90.00°, β = 90.00° and γ = 90.00°. The asymmetric unit holds Rb at (0.000, 0.000, 0.000), Rb at (0.250, 0.250, 0.500), Pa at (0.000, 0.500, 0.000), O at (0.000, 0.327, 0.000) and O at (0.191, 0.500, 0.500).

As for the formation energy without anion corrections: -1840.1 kJ/mol of formula units. The polymorph energy (0 for the lowest one) is 0.0 kJ/mol of atoms. As for the total DFT energy (no corrections): -0.4713 Ry per atom.



Record 11
VASP calculation (PBE-GGA) on a relaxed CePm3Se4 crystal.

It has space group Pm-3m (No. 221), with a = 5.936 Å, b = 5.936 Å, c = 5.936 Å, α = 90.00°, β = 90.00° and γ = 90.00°. The asymmetric unit holds Ce at (0.000, 0.000, 0.000), Pm at (0.000, 0.500, 0.500), Se at (0.000, 0.000, 0.500) and Se at (0.500, 0.500, 0.500).

As for the formation energy without anion corrections: -1416.2 kJ/mol of formula units. As for the total DFT energy (no corrections): -0.4484 Ry per atom.



Record 12
VASP calculation (PBE-GGA) on a relaxed Ba2MnPb crystal.

It has space group F-43m (No. 216), with a = 8.145 Å, b = 8.145 Å, c = 8.145 Å, α = 90.00°, β = 90.00° and γ = 90.00°. The asymmetric unit holds Ba at (0.000, 0.000, 0.000), Ba at (0.250, 0.250, 0.250), Mn at (0.250, 0.250, 0.750) and Pb at (0.000, 0.000, 0.500).

The formation energy comes out at 0.238 eV/atom. As for the total DFT energy (no corrections): -0.2898 Ry per atom.



Record 13
VASP calculation (PBE-GGA) on a relaxed AgSn6Au2 crystal.

It has space group C2/m (No. 12), with a = 12.047 Å, b = 4.572 Å, c = 10.141 Å, α = 90.00°, β = 126.07° and γ = 90.00°. The asymmetric unit holds Ag at (0.000, 0.000, 0.000), Sn at (0.061, 0.000, 0.715), Sn at (0.126, 0.500, 0.951), Sn at (0.162, 0.500, 0.538) and Au at (0.182, 0.500, 0.265).

The formation energy comes out at -0.009 eV/atom. As for the total DFT energy (no corrections): -0.2736 Ry per atom.



Record 14
VASP calculation (PBE-GGA) on a relaxed Mn2Au crystal.

It has space group C2/m (No. 12), with a = 9.014 Å, b = 3.602 Å, c = 2.786 Å, α = 90.00°, β = 105.06° and γ = 90.00°. The asymmetric unit holds Mn at (0.237, 0.000, 0.272) and Au at (0.000, 0.500, 0.000).

The formation energy comes out at 0.586 eV/atom. As for the total DFT energy (no corrections): -0.4865 Ry per atom.



Record 15
VASP calculation (PBE-GGA) on a relaxed Rb2HfGaSe5 crystal.

It has space group Cmc2_1 (No. 36), with a = 3.822 Å, b = 20.753 Å, c = 14.922 Å, α = 90.00°, β = 90.00° and γ = 90.00°. The asymmetric unit holds Rb at (0.000, 0.131, 0.000), Rb at (0.000, 0.133, 0.373), Hf at (0.000, 0.207, 0.706), Ga at (0.000, 0.428, 0.110), Se at (0.000, 0.066, 0.713), Se at (0.000, 0.301, 0.327), Se at (0.000, 0.310, 0.074), Se at (0.000, 0.329, 0.686) and Se at (0.000, 0.489, 0.976).

As for the formation energy without anion corrections: -889.4 kJ/mol of formula units. As for the total DFT energy (no corrections): -0.3394 Ry per atom.



Record 16
VASP calculation (PBE-GGA) on a relaxed TlCoBr2 crystal.

It has space group Cm (No. 8), with a = 12.592 Å, b = 3.694 Å, c = 5.940 Å, α = 90.00°, β = 90.45° and γ = 90.00°. The asymmetric unit holds Tl at (0.000, 0.000, 0.000), Co at (0.348, 0.500, 0.648), Br at (0.251, 0.000, 0.829) and Br at (0.450, 0.000, 0.459).

As for the formation energy without anion corrections: -74.0 kJ/mol of formula units. The polymorph energy (0 for the lowest one) is 5.5 kJ/mol of atoms. As for the total DFT energy (no corrections): -0.2496 Ry per atom.



Record 17
VASP calculation (PBE-GGA) on a relaxed KThSe2 crystal.

It has space group C2/c (No. 15), with a = 8.970 Å, b = 16.999 Å, c = 7.430 Å, α = 90.00°, β = 123.02° and γ = 90.00°. The asymmetric unit holds K at (0.000, 0.055, 0.250), K at (0.000, 0.178, 0.750), Th at (0.000, 0.306, 0.250), Th at (0.000, 0.427, 0.750), Se at (0.206, 0.439, 0.228) and Se at (0.242, 0.312, 0.734).

As for the formation energy without anion corrections: -578.4 kJ/mol of formula units. As for the total DFT energy (no corrections): -0.3947 Ry per atom.



Record 18
VASP calculation (PBE-GGA) on a relaxed Np2NbRu9 crystal.

It has space group P4/mmm (No. 123), with a = 3.960 Å, b = 3.960 Å, c = 11.799 Å, α = 90.00°, β = 90.00° and γ = 90.00°. The asymmetric unit holds Np at (0.000, 0.000, 0.170), Nb at (0.000, 0.000, 0.500), Ru at (0.000, 0.500, 0.000), Ru at (0.000, 0.500, 0.336), Ru at (0.500, 0.500, 0.169) and Ru at (0.500, 0.500, 0.500).

The formation energy comes out at -0.105 eV/atom. As for the total DFT energy (no corrections): -0.7393 Ry per atom.



Record 19
VASP calculation (PBE-GGA) on a relaxed PuInCl6 crystal.

It has space group R-3 (No. 148, hexagonal axes), with a = 6.5880 Å, b = 6.5880 Å, c = 18.4200 Å, α = 90.00°, β = 90.00° and γ = 120.00°. The asymmetric unit holds Pu at (0.0000, 0.0000, 0.0000), In at (0.0000, 0.0000, 0.5000) and Cl at (0.0063, 0.6841, 0.5802).

As for the formation energy without anion corrections: -1112.8 kJ/mol of formula units. The polymorph energy (0 for the lowest one) is 0.7 kJ/mol of atoms. As for the total DFT energy (no corrections): -0.3646 Ry per atom.



Record 20
VASP calculation (PBE-GGA) on a relaxed VGaCoNi crystal.

It has space group I-4m2 (No. 119), with a = 3.800 Å, b = 3.800 Å, c = 6.668 Å, α = 90.00°, β = 90.00° and γ = 90.00°. The asymmetric unit holds V at (0.000, 0.000, 0.000), Ga at (0.000, 0.000, 0.500), Co at (0.000, 0.500, 0.250) and Ni at (0.000, 0.500, 0.750).

The formation energy comes out at -0.285 eV/atom. The polymorph energy (0 for the lowest one) is 0.0 kJ/mol of atoms. As for the total DFT energy (no corrections): -0.4809 Ry per atom.